# AlCo2Te GGA-PBE relaxed
data_AlCo2Te
_chemical_formula_sum 'Al1 Co2 Te1'
_cell_length_a 3.085
_cell_length_b 3.085
_cell_length_c 6.058
_cell_angle_alpha 90.00
_cell_angle_beta 90.00
_cell_angle_gamma 90.00
_symmetry_space_group_name_H-M 'P 1'
_symmetry_Int_Tables_number 1
loop_
_symmetry_equiv_pos_as_xyz
'x,y,z'
loop_
_atom_site_label
_atom_site_type_symbol
_atom_site_fract_x
_atom_site_fract_y
_atom_site_fract_z
Al1 Al 0.000 0.000 0.000
Co1 Co 0.500 0.500 0.222
Co2 Co 0.500 0.500 0.778
Te1 Te 0.000 0.000 0.500
# E_tot   -5.22 eV per atom
# Crystal system   tetragonal
# SG   P4/mmm (123)
# Relative energy among the computed polymorphs   36 meV per atom
# Formation energy from raw total energies   0.20 eV per formula unit

---

# Th6Al3Co GGA-PBE relaxed
data_Th6Al3Co
_chemical_formula_sum 'Th12 Al6 Co2'
_cell_length_a 8.248
_cell_length_b 8.248
_cell_length_c 8.248
_cell_angle_alpha 87.30
_cell_angle_beta 87.30
_cell_angle_gamma 87.30
_symmetry_space_group_name_H-M 'P 1'
_symmetry_Int_Tables_number 1
loop_
_symmetry_equiv_pos_as_xyz
'x,y,z'
loop_
_atom_site_label
_atom_site_type_symbol
_atom_site_fract_x
_atom_site_fract_y
_atom_site_fract_z
Th1 Th 0.113 0.783 0.783
Th2 Th 0.183 0.492 0.492
Th3 Th 0.217 0.217 0.887
Th4 Th 0.217 0.887 0.217
Th5 Th 0.492 0.183 0.492
Th6 Th 0.492 0.492 0.183
Th7 Th 0.508 0.508 0.817
Th8 Th 0.508 0.817 0.508
Th9 Th 0.783 0.113 0.783
Th10 Th 0.783 0.783 0.113
Th11 Th 0.817 0.508 0.508
Th12 Th 0.887 0.217 0.217
Al1 Al 0.109 0.109 0.530
Al2 Al 0.109 0.530 0.109
Al3 Al 0.470 0.891 0.891
Al4 Al 0.530 0.109 0.109
Al5 Al 0.891 0.470 0.891
Al6 Al 0.891 0.891 0.470
Co1 Co 0.000 0.000 0.000
Co2 Co 0.500 0.500 0.500
# E_tot   -6.37 eV per atom
# Crystal system   trigonal
# SG   R-3m (166)
# E_form   -0.089 eV/atom

---

# Th4AlCo2 GGA-PBE relaxed
data_Th4AlCo2
_chemical_formula_sum 'Th8 Al2 Co4'
_cell_length_a 6.750
_cell_length_b 6.841
_cell_length_c 8.698
_cell_angle_alpha 107.39
_cell_angle_beta 107.01
_cell_angle_gamma 104.06
_symmetry_space_group_name_H-M 'P 1'
_symmetry_Int_Tables_number 1
loop_
_symmetry_equiv_pos_as_xyz
'x,y,z'
loop_
_atom_site_label
_atom_site_type_symbol
_atom_site_fract_x
_atom_site_fract_y
_atom_site_fract_z
Th1 Th 0.000 0.000 0.000
Th2 Th 0.025 0.720 0.576
Th3 Th 0.311 0.152 0.472
Th4 Th 0.374 0.568 0.272
Th5 Th 0.472 0.611 0.863
Th6 Th 0.531 0.171 0.983
Th7 Th 0.763 0.105 0.375
Th8 Th 0.925 0.425 0.849
Al1 Al 0.622 0.907 0.650
Al2 Al 0.892 0.680 0.198
Co1 Co 0.145 0.183 0.746
Co2 Co 0.323 0.860 0.099
Co3 Co 0.663 0.538 0.607
Co4 Co 0.979 0.355 0.240
# E_tot   -7.05 eV per atom
# Crystal system   triclinic
# SG   P1 (1)
# E_form   -0.243 eV/atom

---

# ThAl9Co2 GGA-PBE relaxed
data_ThAl9Co2
_chemical_formula_sum 'Th1 Al9 Co2'
_cell_length_a 7.840
_cell_length_b 7.840
_cell_length_c 3.833
_cell_angle_alpha 90.00
_cell_angle_beta 90.00
_cell_angle_gamma 120.00
_symmetry_space_group_name_H-M 'P 1'
_symmetry_Int_Tables_number 1
loop_
_symmetry_equiv_pos_as_xyz
'x,y,z'
loop_
_atom_site_label
_atom_site_type_symbol
_atom_site_fract_x
_atom_site_fract_y
_atom_site_fract_z
Th1 Th 0.000 0.000 0.000
Al1 Al 0.000 0.500 0.000
Al2 Al 0.210 0.421 0.500
Al3 Al 0.210 0.790 0.500
Al4 Al 0.421 0.210 0.500
Al5 Al 0.500 0.000 0.000
Al6 Al 0.500 0.500 0.000
Al7 Al 0.579 0.790 0.500
Al8 Al 0.790 0.210 0.500
Al9 Al 0.790 0.579 0.500
Co1 Co 0.333 0.667 0.000
Co2 Co 0.667 0.333 0.000
# E_tot   -4.97 eV per atom
# Crystal system   hexagonal
# SG   P6/mmm (191)
# E_form   -0.362 eV/atom
# Relative energy among the computed polymorphs   12 meV per atom

---

# Th4Al16Co3 GGA-PBE relaxed
data_Th4Al16Co3
_chemical_formula_sum 'Th4 Al16 Co3'
_cell_length_a 6.172
_cell_length_b 6.172
_cell_length_c 11.389
_cell_angle_alpha 90.00
_cell_angle_beta 90.00
_cell_angle_gamma 90.00
_symmetry_space_group_name_H-M 'P 1'
_symmetry_Int_Tables_number 1
loop_
_symmetry_equiv_pos_as_xyz
'x,y,z'
loop_
_atom_site_label
_atom_site_type_symbol
_atom_site_fract_x
_atom_site_fract_y
_atom_site_fract_z
Th1 Th 0.000 0.500 0.194
Th2 Th 0.000 0.500 0.806
Th3 Th 0.500 0.000 0.194
Th4 Th 0.500 0.000 0.806
Al1 Al 0.000 0.000 0.199
Al2 Al 0.000 0.000 0.801
Al3 Al 0.221 0.221 0.000
Al4 Al 0.221 0.779 0.000
Al5 Al 0.249 0.249 0.387
Al6 Al 0.249 0.249 0.613
Al7 Al 0.249 0.751 0.387
Al8 Al 0.249 0.751 0.613
Al9 Al 0.500 0.500 0.221
Al10 Al 0.500 0.500 0.779
Al11 Al 0.751 0.249 0.387
Al12 Al 0.751 0.249 0.613
Al13 Al 0.751 0.751 0.387
Al14 Al 0.751 0.751 0.613
Al15 Al 0.779 0.221 0.000
Al16 Al 0.779 0.779 0.000
Co1 Co 0.000 0.500 0.500
Co2 Co 0.500 0.000 0.500
Co3 Co 0.500 0.500 0.000
# E_tot   -5.23 eV per atom
# Crystal system   tetragonal
# SG   P4/mmm (123)
# E_form   -0.410 eV/atom

---

# ThAl2Co3 GGA-PBE relaxed
data_ThAl2Co3
_chemical_formula_sum 'Th1 Al2 Co3'
_cell_length_a 4.960
_cell_length_b 4.960
_cell_length_c 4.145
_cell_angle_alpha 90.00
_cell_angle_beta 90.00
_cell_angle_gamma 115.68
_symmetry_space_group_name_H-M 'P 1'
_symmetry_Int_Tables_number 1
loop_
_symmetry_equiv_pos_as_xyz
'x,y,z'
loop_
_atom_site_label
_atom_site_type_symbol
_atom_site_fract_x
_atom_site_fract_y
_atom_site_fract_z
Th1 Th 0.000 0.000 0.000
Al1 Al 0.000 0.500 0.500
Al2 Al 0.500 0.000 0.500
Co1 Co 0.339 0.661 0.000
Co2 Co 0.500 0.500 0.500
Co3 Co 0.661 0.339 0.000
# E_tot   -6.44 eV per atom
# Crystal system   orthorhombic
# SG   Cmmm (65)
# E_form   -0.407 eV/atom